#w
Computed, not measured: NaSiBi3 after structural relaxation at the GGA-PBE level of DFT.

The volume is 163.6 Å³/cell. The calculation puts the spin magnetization at 0.0 Bohr magnetons per cell.

It has space group Pm-3m (No. 221), with a = 5.470 Å, b = 5.470 Å, c = 5.470 Å, α = 90.00°, β = 90.00° and γ = 90.00°. The distinct sites, in fractional coordinates, are Na at (0.000, 0.000, 0.000), Si at (0.500, 0.500, 0.500) and Bi at (0.000, 0.000, 0.500).



#x
Computed, not measured: NaSiBi3 after structural relaxation at the GGA-PBE level of DFT.

The volume is 169.8 Å³/cell. The calculation puts the spin magnetization at 0.0 Bohr magnetons per cell.

It has space group Pm-3m (No. 221), with a = 5.538 Å, b = 5.538 Å, c = 5.538 Å, α = 90.00°, β = 90.00° and γ = 90.00°. The distinct sites, in fractional coordinates, are Na at (0.000, 0.000, 0.000), Si at (0.500, 0.500, 0.500) and Bi at (0.000, 0.500, 0.500).



Most stable: #x



#w
Computed, not measured: Na8Sn2Bi after structural relaxation at the GGA-PBE level of DFT.

The volume is 674.3 Å³/cell. The calculation puts the spin magnetization at 0.0 Bohr magnetons per cell.

It has space group Cm (No. 8), with a = 16.059 Å, b = 5.392 Å, c = 9.278 Å, α = 90.00°, β = 122.94° and γ = 90.00°. The distinct sites, in fractional coordinates, are Na at (0.000, 0.000, 0.000), Na at (0.010, 0.500, 0.720), Na at (0.114, 0.500, 0.450), Na at (0.176, 0.500, 0.143), Na at (0.277, 0.500, 0.897), Na at (0.287, 0.000, 0.699), Na at (0.299, 0.000, 0.338), Na at (0.455, 0.500, 0.377), Sn at (0.175, 0.000, 0.912), Sn at (0.403, 0.000, 0.116) and Bi at (0.339, 0.500, 0.572).



#x
Computed, not measured: Na8Sn2Bi after structural relaxation at the GGA-PBE level of DFT.

The volume is 662.2 Å³/cell. The calculation puts the spin magnetization at 0.0 Bohr magnetons per cell.

It has space group C2/m (No. 12), with a = 17.599 Å, b = 5.345 Å, c = 7.752 Å, α = 90.00°, β = 114.75° and γ = 90.00°. The distinct sites, in fractional coordinates, are Na at (0.006, 0.000, 0.227), Na at (0.142, 0.500, 0.925), Na at (0.157, 0.500, 0.391), Na at (0.168, 0.000, 0.687), Sn at (0.191, 0.000, 0.179) and Bi at (0.000, 0.500, 0.500).



Most stable: #w



#w
Computed, not measured: Na5Sn2Bi5 after structural relaxation at the GGA-PBE level of DFT.

The volume is 377.9 Å³/cell. The calculation puts the spin magnetization at 0.0 Bohr magnetons per cell.

It has space group P-1 (No. 2), with a = 5.362 Å, b = 5.831 Å, c = 13.699 Å, α = 96.33°, β = 90.25° and γ = 117.21°. The distinct sites, in fractional coordinates, are Na at (0.000, 0.000, 0.000), Na at (0.341, 0.682, 0.520), Na at (0.449, 0.895, 0.183), Sn at (0.177, 0.360, 0.717), Bi at (0.000, 0.000, 0.500), Bi at (0.148, 0.289, 0.287) and Bi at (0.293, 0.590, 0.948).



#x
Computed, not measured: Na5Sn2Bi5 after structural relaxation at the GGA-PBE level of DFT.

The volume is 739.5 Å³/cell. The calculation puts the spin magnetization at 0.0 Bohr magnetons per cell.

It has space group C2/m (No. 12), with a = 17.493 Å, b = 3.556 Å, c = 13.918 Å, α = 90.00°, β = 121.33° and γ = 90.00°. The distinct sites, in fractional coordinates, are Na at (0.000, 0.000, 0.000), Na at (0.168, 0.000, 0.757), Na at (0.169, 0.000, 0.513), Sn at (0.024, 0.500, 0.280), Bi at (0.000, 0.500, 0.500), Bi at (0.149, 0.500, 0.950) and Bi at (0.170, 0.000, 0.271).



Most stable: #w



#w
Computed, not measured: Na3SnBi after structural relaxation at the GGA-PBE level of DFT.

The volume is 200.5 Å³/cell. The calculation puts the spin magnetization at 0.0 Bohr magnetons per cell.

It has space group Pm-3m (No. 221), with a = 5.853 Å, b = 5.853 Å, c = 5.853 Å, α = 90.00°, β = 90.00° and γ = 90.00°. The distinct sites, in fractional coordinates, are Na at (0.000, 0.000, 0.500), Sn at (0.500, 0.500, 0.500) and Bi at (0.000, 0.000, 0.000).



#x
Computed, not measured: Na3SnBi after structural relaxation at the GGA-PBE level of DFT.

The volume is 289.8 Å³/cell. The calculation puts the spin magnetization at 0.0 Bohr magnetons per cell.

It has space group P-1 (No. 2), with a = 5.945 Å, b = 7.075 Å, c = 7.400 Å, α = 101.38°, β = 93.52° and γ = 106.80°. The distinct sites, in fractional coordinates, are Na at (0.015, 0.249, 0.002), Na at (0.203, 0.151, 0.417), Na at (0.369, 0.556, 0.776), Sn at (0.401, 0.046, 0.825) and Bi at (0.231, 0.661, 0.354).



#y
Computed, not measured: Na3SnBi after structural relaxation at the GGA-PBE level of DFT.

The volume is 189.5 Å³/cell. The calculation puts the spin magnetization at 0.0 Bohr magnetons per cell.

It has space group Pm-3m (No. 221), with a = 5.743 Å, b = 5.743 Å, c = 5.743 Å, α = 90.00°, β = 90.00° and γ = 90.00°. The distinct sites, in fractional coordinates, are Na at (0.000, 0.000, 0.500), Sn at (0.000, 0.000, 0.000) and Bi at (0.500, 0.500, 0.500).



Most stable: #x



#w
Computed, not measured: Na2SnBi2 after structural relaxation at the GGA-PBE level of DFT.

The volume is 298.5 Å³/cell. The calculation puts the spin magnetization at 0.0 Bohr magnetons per cell.

It has space group C2/m (No. 12), with a = 9.339 Å, b = 5.593 Å, c = 6.386 Å, α = 90.00°, β = 116.51° and γ = 90.00°. The distinct sites, in fractional coordinates, are Na at (0.202, 0.000, 0.110), Sn at (0.000, 0.000, 0.500) and Bi at (0.092, 0.500, 0.277).



#x
Computed, not measured: Na2SnBi2 after structural relaxation at the GGA-PBE level of DFT.

The volume is 631.1 Å³/cell. The calculation puts the spin magnetization at 0.0 Bohr magnetons per cell.

It has space group Cmc2_1 (No. 36), with a = 5.036 Å, b = 17.513 Å, c = 7.155 Å, α = 90.00°, β = 90.00° and γ = 90.00°. The distinct sites, in fractional coordinates, are Na at (0.000, 0.016, 0.000), Na at (0.000, 0.188, 0.305), Sn at (0.000, 0.400, 0.189), Bi at (0.000, 0.187, 0.808) and Bi at (0.000, 0.429, 0.771).



#y
Computed, not measured: Na2SnBi2 after structural relaxation at the GGA-PBE level of DFT.

The volume is 294.3 Å³/cell. The calculation puts the spin magnetization at 0.0 Bohr magnetons per cell.

It has space group P4/mbm (No. 127), with a = 9.302 Å, b = 9.302 Å, c = 3.401 Å, α = 90.00°, β = 90.00° and γ = 90.00°. The distinct sites, in fractional coordinates, are Na at (0.121, 0.379, 0.000), Sn at (0.000, 0.000, 0.500) and Bi at (0.178, 0.678, 0.500).



#z
Computed, not measured: Na2SnBi2 after structural relaxation at the GGA-PBE level of DFT.

The volume is 321.8 Å³/cell. The calculation puts the spin magnetization at 0.0 Bohr magnetons per cell.

It has space group I4/mmm (No. 139), with a = 4.544 Å, b = 4.544 Å, c = 15.584 Å, α = 90.00°, β = 90.00° and γ = 90.00°. The distinct sites, in fractional coordinates, are Na at (0.000, 0.500, 0.250), Sn at (0.000, 0.000, 0.000) and Bi at (0.000, 0.000, 0.403).



Most stable: #x



#w
Computed, not measured: Na3SnBi2 after structural relaxation at the GGA-PBE level of DFT.

The volume is 338.9 Å³/cell. The calculation puts the spin magnetization at 0.0 Bohr magnetons per cell.

It has space group Cmmm (No. 65), with a = 4.765 Å, b = 14.436 Å, c = 4.927 Å, α = 90.00°, β = 90.00° and γ = 90.00°. The distinct sites, in fractional coordinates, are Na at (0.000, 0.000, 0.000), Na at (0.000, 0.333, 0.000), Sn at (0.000, 0.500, 0.500) and Bi at (0.000, 0.162, 0.500).



#x
Computed, not measured: Na3SnBi2 after structural relaxation at the GGA-PBE level of DFT.

The volume is 346.5 Å³/cell. The calculation puts the spin magnetization at 0.0 Bohr magnetons per cell.

It has space group Cmmm (No. 65), with a = 4.953 Å, b = 14.330 Å, c = 4.882 Å, α = 90.00°, β = 90.00° and γ = 90.00°. The distinct sites, in fractional coordinates, are Na at (0.000, 0.000, 0.000), Na at (0.000, 0.164, 0.500), Sn at (0.000, 0.500, 0.500) and Bi at (0.000, 0.332, 0.000).



Most stable: #w



#w
Computed, not measured: Na3Sn5Bi2 after structural relaxation at the GGA-PBE level of DFT.

The volume is 1383.8 Å³/cell. The calculation puts the spin magnetization at 0.0 Bohr magnetons per cell.

It has space group Ibam (No. 72), with a = 10.584 Å, b = 15.404 Å, c = 8.488 Å, α = 90.00°, β = 90.00° and γ = 90.00°. The distinct sites, in fractional coordinates, are Na at (0.000, 0.000, 0.250), Na at (0.245, 0.351, 0.000), Sn at (0.000, 0.287, 0.250), Sn at (0.000, 0.500, 0.250), Sn at (0.147, 0.398, 0.500) and Bi at (0.076, 0.153, 0.000).



#x
Computed, not measured: Na3Sn5Bi2 after structural relaxation at the GGA-PBE level of DFT.

The volume is 1334.8 Å³/cell. The calculation puts the spin magnetization at 0.0 Bohr magnetons per cell.

It has space group Ibam (No. 72), with a = 13.488 Å, b = 14.321 Å, c = 6.910 Å, α = 90.00°, β = 90.00° and γ = 90.00°. The distinct sites, in fractional coordinates, are Na at (0.000, 0.000, 0.250), Na at (0.125, 0.246, 0.000), Sn at (0.000, 0.500, 0.250), Sn at (0.123, 0.371, 0.500), Sn at (0.247, 0.000, 0.250) and Bi at (0.139, 0.155, 0.500).



Most stable: #x



#w
Computed, not measured: Na2Sr2Bi after structural relaxation at the GGA-PBE level of DFT.

The volume is 408.7 Å³/cell. The calculation puts the spin magnetization at 0.0 Bohr magnetons per cell.

It has space group I4/mmm (No. 139), with a = 4.429 Å, b = 4.429 Å, c = 20.836 Å, α = 90.00°, β = 90.00° and γ = 90.00°. The distinct sites, in fractional coordinates, are Na at (0.000, 0.500, 0.250), Sr at (0.000, 0.000, 0.084) and Bi at (0.000, 0.000, 0.500).



#x
Computed, not measured: Na2Sr2Bi after structural relaxation at the GGA-PBE level of DFT.

The volume is 475.2 Å³/cell. The calculation puts the spin magnetization at 0.9 Bohr magnetons per cell.

It has space group P4/mbm (No. 127), with a = 8.792 Å, b = 8.792 Å, c = 6.147 Å, α = 90.00°, β = 90.00° and γ = 90.00°. The distinct sites, in fractional coordinates, are Na at (0.144, 0.356, 0.000), Sr at (0.166, 0.666, 0.500) and Bi at (0.000, 0.000, 0.500).



Most stable: #w



#w
Computed, not measured: Na4SrBi2 after structural relaxation at the GGA-PBE level of DFT.

The volume is 452.3 Å³/cell. The calculation puts the spin magnetization at 0.0 Bohr magnetons per cell.

It has space group P4_2/mnm (No. 136), with a = 9.227 Å, b = 9.227 Å, c = 5.313 Å, α = 90.00°, β = 90.00° and γ = 90.00°. The distinct sites, in fractional coordinates, are Na at (0.104, 0.344, 0.000), Sr at (0.000, 0.000, 0.500) and Bi at (0.212, 0.788, 0.000).



#x
Computed, not measured: Na4SrBi2 after structural relaxation at the GGA-PBE level of DFT.

The volume is 680.3 Å³/cell. The calculation puts the spin magnetization at 0.0 Bohr magnetons per cell.

It has space group R-3m (No. 166, hexagonal axes), with a = 5.4097 Å, b = 5.4097 Å, c = 26.8456 Å, α = 90.00°, β = 90.00° and γ = 120.00°. The distinct sites, in fractional coordinates, are Na at (0.0000, 0.0000, 0.0898), Na at (0.0000, 0.0000, 0.3621), Sr at (0.0000, 0.0000, 0.5000) and Bi at (0.0000, 0.0000, 0.2399).



Most stable: #x



#w
Computed, not measured: NaTa3Bi after structural relaxation at the GGA-PBE level of DFT.

The volume is 143.8 Å³/cell. The calculation puts the spin magnetization at 0.0 Bohr magnetons per cell.

It has space group Pm-3m (No. 221), with a = 5.239 Å, b = 5.239 Å, c = 5.239 Å, α = 90.00°, β = 90.00° and γ = 90.00°. The distinct sites, in fractional coordinates, are Na at (0.000, 0.000, 0.000), Ta at (0.000, 0.500, 0.500) and Bi at (0.500, 0.500, 0.500).



#x
Computed, not measured: NaTa3Bi after structural relaxation at the GGA-PBE level of DFT.

The volume is 108.8 Å³/cell. The calculation puts the spin magnetization at 0.0 Bohr magnetons per cell.

It has space group Pm-3m (No. 221), with a = 4.774 Å, b = 4.774 Å, c = 4.774 Å, α = 90.00°, β = 90.00° and γ = 90.00°. The distinct sites, in fractional coordinates, are Na at (0.000, 0.000, 0.000), Ta at (0.000, 0.000, 0.500) and Bi at (0.500, 0.500, 0.500).



Most stable: #x